Below is an optimized crystal structure of Mg30VCdO32, with properties calculated at the PBE+U level.

Cell and atoms, written as POSCAR:
```
Mg30VCdO32
1.0
8.567 0.000 0.000
0.000 8.567 0.000
0.000 0.000 8.567
Mg O Cd V
30 32 1 1
direct
0.749 0.250 0.000
0.748 0.500 0.248
0.500 0.250 0.750
0.500 0.000 0.000
0.748 0.248 0.500
0.000 0.752 0.752
0.251 0.000 0.250
0.000 0.248 0.752
0.748 0.752 0.500
0.252 0.248 0.500
0.251 0.000 0.750
0.500 0.250 0.250
0.500 0.750 0.750
0.500 0.750 0.250
0.749 0.000 0.750
0.252 0.752 0.500
0.251 0.750 0.000
0.500 0.500 0.000
0.749 0.750 0.000
0.749 0.000 0.250
0.000 0.000 0.500
0.500 0.000 0.500
0.000 0.752 0.248
0.252 0.500 0.248
0.252 0.500 0.752
0.000 0.248 0.248
0.000 0.500 0.000
0.500 0.500 0.500
0.748 0.500 0.752
0.251 0.250 0.000
0.500 0.752 0.500
0.500 0.248 0.500
0.500 0.500 0.248
0.736 0.500 0.500
0.500 0.500 0.752
0.249 0.250 0.750
0.500 0.750 0.000
0.500 0.000 0.750
0.249 0.250 0.250
0.751 0.250 0.250
0.000 0.747 0.000
0.000 0.500 0.236
0.500 0.000 0.250
0.000 0.000 0.253
0.751 0.250 0.750
0.751 0.750 0.750
0.000 0.253 0.000
0.253 0.000 0.500
0.000 0.764 0.500
0.000 0.236 0.500
0.249 0.750 0.750
0.500 0.250 0.000
0.747 0.000 0.500
0.249 0.750 0.250
0.264 0.500 0.500
0.751 0.750 0.250
0.000 0.000 0.747
0.747 0.500 0.000
0.255 0.000 0.000
0.000 0.500 0.764
0.253 0.500 0.000
0.745 0.000 0.000
0.000 0.500 0.500
0.000 0.000 0.000
```

Values from the calculation:
- volume (Å³/atom) = 9.82
- crystal system = tetragonal
- uncorrected energy (eV per atom) = -5.966

---

Below is an optimized crystal structure of MgVCd2O5, with properties calculated at the PBE+U level.

Cell and atoms, written as POSCAR:
```
MgVCd2O5
1.0
3.268 0.000 0.000
-1.634 6.455 0.000
0.000 0.000 10.785
O Mg V Cd
10 2 2 4
direct
0.960 0.920 0.525
0.508 0.015 0.770
0.325 0.651 0.430
0.630 0.259 0.477
0.040 0.080 0.025
0.729 0.459 0.177
0.492 0.985 0.270
0.675 0.349 0.930
0.370 0.741 0.977
0.271 0.541 0.677
0.792 0.583 0.539
0.208 0.417 0.039
0.527 0.055 0.932
0.473 0.945 0.432
0.821 0.642 0.820
0.899 0.798 0.153
0.101 0.202 0.653
0.179 0.358 0.320
```

Values from the calculation:
- volume (Å³/atom) = 12.64
- crystal system = orthorhombic
- uncorrected energy (eV per atom) = -5.602

---

Below is an optimized crystal structure of Mg2CdWO6, with properties calculated at the PBE+U level.

Cell and atoms, written as POSCAR:
```
Mg2CdWO6
1.0
-3.758 -0.017 3.787
0.742 -2.797 4.482
1.052 2.908 4.816
O Mg W Cd
6 2 1 1
direct
0.707 0.147 0.766
0.946 0.579 0.231
0.380 0.707 0.766
0.579 0.244 0.231
0.147 0.380 0.766
0.244 0.946 0.232
0.018 0.018 0.947
0.522 0.522 0.434
0.319 0.319 0.042
0.800 0.800 0.599
```

Values from the calculation:
- volume (Å³/atom) = 11.89
- crystal system = trigonal
- uncorrected energy (eV per atom) = -6.237